5
Lattice="4.9071 0.0000 0.0000 0.0000 4.9071 0.0000 0.0000 0.0000 3.4042" Properties=species:S:1:pos:R:3 comment="BiPS2N | the Alexandria database | PBE | relaxed" polymorph_energy_kj_per_mol_fu=0.0 formation_energy_uncorrected_ev_per_atom=0.38 mass_density_g_cm3=6.4 space_group=P4/mmm pbc="T T T"
N 0.0000 0.0000 1.7021
P 0.0000 0.0000 0.0000
S 2.4536 0.0000 0.0000
S 0.0000 2.4536 0.0000
Bi 2.4536 2.4536 1.7021